Run i
Material: AlBAs2
Method: DFT, PBE-GGA
State: relaxed Values from VASP.

Geometry as Quantum ESPRESSO input:
```
&SYSTEM
  ibrav = 0, nat = 4, ntyp = 3
/
ATOMIC_SPECIES
B 10.81 B.upf
Al 26.98 Al.upf
As 74.92 As.upf
CELL_PARAMETERS angstrom
0.000 3.148 3.148
3.148 0.000 3.148
3.148 3.148 0.000
ATOMIC_POSITIONS crystal
B 0.000 0.000 0.000
Al 0.500 0.500 0.500
As 0.750 0.750 0.750
As 0.250 0.250 0.250
```

Summary:
Space-group type = Fm-3m (225)
Magnetization = 0.000 μB/atom
Density = 5.00 Mg/m³


Run ii
Material: AlBAs2
Method: DFT, PBE-GGA
State: relaxed Values from VASP.

Geometry as Quantum ESPRESSO input:
```
&SYSTEM
  ibrav = 0, nat = 8, ntyp = 3
/
ATOMIC_SPECIES
B 10.81 B.upf
As 74.92 As.upf
Al 26.98 Al.upf
CELL_PARAMETERS angstrom
-2.255 3.100 -3.732
-4.711 -0.414 2.502
-2.372 5.498 2.165
ATOMIC_POSITIONS crystal
B 0.500 0.500 0.000
B 0.250 0.750 0.500
As 0.875 0.821 0.750
As 0.375 0.429 0.750
As 0.179 0.625 0.250
As 0.571 0.125 0.250
Al 0.000 0.000 0.000
Al 0.750 0.250 0.500
```

Summary:
Space-group type = I-42d (122)
Magnetization = 0.000 μB/atom
Density = 4.25 Mg/m³


Name the most stable of them. run ii.


Run i
Material: Al2BAs
Method: DFT, PBE-GGA
State: relaxed Values from VASP.

Geometry as Quantum ESPRESSO input:
```
&SYSTEM
  ibrav = 0, nat = 4, ntyp = 3
/
ATOMIC_SPECIES
B 10.81 B.upf
Al 26.98 Al.upf
As 74.92 As.upf
CELL_PARAMETERS angstrom
0.860 -0.753 4.218
2.439 2.827 2.271
-1.842 2.490 3.084
ATOMIC_POSITIONS crystal
B 0.000 0.000 0.000
Al 0.750 0.750 0.750
Al 0.250 0.250 0.250
As 0.500 0.500 0.500
```

Summary:
Space-group type = Fm-3m (225)
Magnetization = 0.000 μB/atom
Density = 3.93 Mg/m³


Run ii
Material: Al2BAs
Method: DFT, PBE-GGA
State: relaxed Values from VASP.

Geometry as Quantum ESPRESSO input:
```
&SYSTEM
  ibrav = 0, nat = 8, ntyp = 3
/
ATOMIC_SPECIES
As 74.92 As.upf
Al 26.98 Al.upf
B 10.81 B.upf
CELL_PARAMETERS angstrom
4.823 0.000 0.000
0.000 4.823 0.000
2.411 2.411 6.225
ATOMIC_POSITIONS crystal
As 0.000 0.000 0.000
As 0.750 0.250 0.500
Al 0.875 0.801 0.750
Al 0.199 0.625 0.250
Al 0.551 0.125 0.250
Al 0.375 0.449 0.750
B 0.500 0.500 0.000
B 0.250 0.750 0.500
```

Summary:
Space-group type = I-42d (122)
Magnetization = 0.000 μB/atom
Density = 3.20 Mg/m³


Name the most stable of them. run ii.


Run i
Material: AlBAs2Br
Method: DFT, PBE-GGA
State: relaxed Values from VASP.

Geometry as Quantum ESPRESSO input:
```
&SYSTEM
  ibrav = 0, nat = 5, ntyp = 4
/
ATOMIC_SPECIES
B 10.81 B.upf
As 74.92 As.upf
Al 26.98 Al.upf
Br 79.90 Br.upf
CELL_PARAMETERS angstrom
-2.083 -1.858 -3.413
3.875 -1.285 -1.666
-0.328 -4.243 2.510
ATOMIC_POSITIONS crystal
B 0.000 0.000 0.000
As 0.000 0.500 0.000
As 0.500 0.000 0.000
Al 0.500 0.500 0.500
Br 0.000 0.000 0.500
```

Summary:
Space-group type = P4/mmm (123)
Magnetization = 0.000 μB/atom
Density = 4.62 Mg/m³


Run ii
Material: AlBAs2Br
Method: DFT, PBE-GGA
State: relaxed Values from VASP.

Geometry as Quantum ESPRESSO input:
```
&SYSTEM
  ibrav = 0, nat = 5, ntyp = 4
/
ATOMIC_SPECIES
As 74.92 As.upf
Al 26.98 Al.upf
Br 79.90 Br.upf
B 10.81 B.upf
CELL_PARAMETERS angstrom
4.855 0.000 0.000
0.000 4.855 0.000
0.000 0.000 5.127
ATOMIC_POSITIONS crystal
As 0.000 0.500 0.000
As 0.500 0.000 0.000
Al 0.000 0.000 0.000
Br 0.000 0.000 0.500
B 0.500 0.500 0.500
```

Summary:
Space-group type = P4/mmm (123)
Magnetization = 0.002 μB/atom
Density = 3.68 Mg/m³


Name the most stable of them. run i.


Run i
Material: AlBAsSe2
Method: DFT, PBE-GGA
State: relaxed Values from VASP.

Geometry as Quantum ESPRESSO input:
```
&SYSTEM
  ibrav = 0, nat = 5, ntyp = 4
/
ATOMIC_SPECIES
B 10.81 B.upf
Al 26.98 Al.upf
Se 78.96 Se.upf
As 74.92 As.upf
CELL_PARAMETERS angstrom
-1.549 -4.541 1.023
2.810 -1.771 -3.610
3.631 -0.542 3.092
ATOMIC_POSITIONS crystal
B 0.500 0.500 0.500
Al 0.000 0.000 0.000
Se 0.500 0.000 0.000
Se 0.000 0.500 0.000
As 0.000 0.000 0.500
```

Summary:
Space-group type = P4/mmm (123)
Magnetization = 0.000 μB/atom
Density = 3.89 Mg/m³


Run ii
Material: AlBAsSe2
Method: DFT, PBE-GGA
State: relaxed Values from VASP.

Geometry as Quantum ESPRESSO input:
```
&SYSTEM
  ibrav = 0, nat = 5, ntyp = 4
/
ATOMIC_SPECIES
As 74.92 As.upf
Se 78.96 Se.upf
Al 26.98 Al.upf
B 10.81 B.upf
CELL_PARAMETERS angstrom
-1.435 -0.904 4.166
-3.518 -2.232 -1.695
2.374 -3.747 0.005
ATOMIC_POSITIONS crystal
As 0.000 0.000 0.500
Se 0.500 0.000 0.000
Se 0.000 0.500 0.000
Al 0.500 0.500 0.500
B 0.000 0.000 0.000
```

Summary:
Space-group type = P4/mmm (123)
Magnetization = 0.000 μB/atom
Density = 5.01 Mg/m³


Name the most stable of them. run ii.


Run i
Material: AlBAs2Se
Method: DFT, PBE-GGA
State: relaxed Values from VASP.

Geometry as Quantum ESPRESSO input:
```
&SYSTEM
  ibrav = 0, nat = 5, ntyp = 4
/
ATOMIC_SPECIES
B 10.81 B.upf
As 74.92 As.upf
Al 26.98 Al.upf
Se 78.96 Se.upf
CELL_PARAMETERS angstrom
-1.125 2.733 3.804
-3.434 -3.142 1.242
3.259 -2.477 2.743
ATOMIC_POSITIONS crystal
B 0.500 0.500 0.500
As 0.000 0.500 0.000
As 0.500 0.000 0.000
Al 0.000 0.000 0.000
Se 0.000 0.000 0.500
```

Summary:
Space-group type = P4/mmm (123)
Magnetization = 0.000 μB/atom
Density = 3.87 Mg/m³


Run ii
Material: AlBAs2Se
Method: DFT, PBE-GGA
State: relaxed Values from VASP.

Geometry as Quantum ESPRESSO input:
```
&SYSTEM
  ibrav = 0, nat = 5, ntyp = 4
/
ATOMIC_SPECIES
B 10.81 B.upf
As 74.92 As.upf
Se 78.96 Se.upf
Al 26.98 Al.upf
CELL_PARAMETERS angstrom
-2.030 -3.885 0.562
3.813 -1.801 1.321
-0.955 1.118 4.281
ATOMIC_POSITIONS crystal
B 0.000 0.000 0.000
As 0.500 0.000 0.000
As 0.000 0.500 0.000
Se 0.000 0.000 0.500
Al 0.500 0.500 0.500
```

Summary:
Space-group type = P4/mmm (123)
Magnetization = 0.000 μB/atom
Density = 5.01 Mg/m³


Name the most stable of them. run ii.


Run i
Material: Ba2AlBiAs
Method: DFT, PBE-GGA
State: relaxed Values from VASP.

Geometry as Quantum ESPRESSO input:
```
&SYSTEM
  ibrav = 0, nat = 5, ntyp = 4
/
ATOMIC_SPECIES
Bi 208.98 Bi.upf
Ba 137.33 Ba.upf
Al 26.98 Al.upf
As 74.92 As.upf
CELL_PARAMETERS angstrom
-4.896 -4.363 -0.687
3.148 -2.728 -5.112
2.170 -2.887 2.877
ATOMIC_POSITIONS crystal
Bi 0.500 0.500 0.500
Ba 0.000 0.500 0.000
Ba 0.500 0.000 0.000
Al 0.000 0.000 0.000
As 0.000 0.000 0.500
```

Summary:
Space-group type = P4/mmm (123)
Magnetization = 0.000 μB/atom
Density = 4.84 Mg/m³


Run ii
Material: Ba2AlBiAs
Method: DFT, PBE-GGA
State: relaxed Values from VASP.

Geometry as Quantum ESPRESSO input:
```
&SYSTEM
  ibrav = 0, nat = 10, ntyp = 4
/
ATOMIC_SPECIES
Ba 137.33 Ba.upf
As 74.92 As.upf
Bi 208.98 Bi.upf
Al 26.98 Al.upf
CELL_PARAMETERS angstrom
4.795 0.000 0.000
0.000 7.885 0.113
0.000 -3.260 9.954
ATOMIC_POSITIONS crystal
Ba 0.750 0.755 0.019
Ba 0.250 0.245 0.981
Ba 0.750 0.785 0.603
Ba 0.250 0.215 0.397
As 0.250 0.833 0.825
As 0.750 0.167 0.175
Bi 0.250 0.682 0.299
Bi 0.750 0.318 0.701
Al 0.750 0.484 0.257
Al 0.250 0.516 0.743
```

Summary:
Space-group type = P2_1/m (11)
Magnetization = 0.000 μB/atom
Density = 5.14 Mg/m³


Name the most stable of them. run ii.


Run i
Material: BeAl3As
Method: DFT, PBE-GGA
State: relaxed Values from VASP.

Geometry as Quantum ESPRESSO input:
```
&SYSTEM
  ibrav = 0, nat = 5, ntyp = 3
/
ATOMIC_SPECIES
As 74.92 As.upf
Al 26.98 Al.upf
Be 9.01 Be.upf
CELL_PARAMETERS angstrom
-2.962 3.153 -2.248
-1.198 -3.437 -3.243
-3.682 -1.418 2.863
ATOMIC_POSITIONS crystal
As 0.000 0.000 0.000
Al 0.000 0.500 0.000
Al 0.500 0.000 0.000
Al 0.000 0.000 0.500
Be 0.500 0.500 0.500
```

Summary:
Space-group type = Pm-3m (221)
Magnetization = 0.000 μB/atom
Density = 2.36 Mg/m³


Run ii
Material: BeAl3As
Method: DFT, PBE-GGA
State: relaxed Values from VASP.

Geometry as Quantum ESPRESSO input:
```
&SYSTEM
  ibrav = 0, nat = 5, ntyp = 3
/
ATOMIC_SPECIES
Al 26.98 Al.upf
Be 9.01 Be.upf
As 74.92 As.upf
CELL_PARAMETERS angstrom
4.393 0.000 0.000
0.000 4.393 0.000
0.000 0.000 4.393
ATOMIC_POSITIONS crystal
Al 0.500 0.000 0.000
Al 0.000 0.000 0.500
Al 0.000 0.500 0.000
Be 0.000 0.000 0.000
As 0.500 0.500 0.500
```

Summary:
Space-group type = Pm-3m (221)
Magnetization = 0.000 μB/atom
Density = 3.23 Mg/m³


Name the most stable of them. run ii.


Run i
Material: BeAlAsSe2
Method: DFT, PBE-GGA
State: relaxed Values from VASP.

Geometry as Quantum ESPRESSO input:
```
&SYSTEM
  ibrav = 0, nat = 5, ntyp = 4
/
ATOMIC_SPECIES
Al 26.98 Al.upf
As 74.92 As.upf
Se 78.96 Se.upf
Be 9.01 Be.upf
CELL_PARAMETERS angstrom
-0.147 0.793 -4.792
3.781 -2.991 -0.611
-2.628 -3.230 -0.454
ATOMIC_POSITIONS crystal
Al 0.500 0.500 0.500
As 0.000 0.000 0.500
Se 0.000 0.500 0.000
Se 0.500 0.000 0.000
Be 0.000 0.000 0.000
```

Summary:
Space-group type = P4/mmm (123)
Magnetization = 0.000 μB/atom
Density = 4.51 Mg/m³


Run ii
Material: BeAlAsSe2
Method: DFT, PBE-GGA
State: relaxed Values from VASP.

Geometry as Quantum ESPRESSO input:
```
&SYSTEM
  ibrav = 0, nat = 5, ntyp = 4
/
ATOMIC_SPECIES
Se 78.96 Se.upf
Al 26.98 Al.upf
Be 9.01 Be.upf
As 74.92 As.upf
CELL_PARAMETERS angstrom
-0.870 -0.027 -4.763
-4.514 -1.542 0.833
-1.535 4.629 0.254
ATOMIC_POSITIONS crystal
Se 0.000 0.500 0.000
Se 0.500 0.000 0.000
Al 0.000 0.000 0.000
Be 0.500 0.500 0.500
As 0.000 0.000 0.500
```

Summary:
Space-group type = P4/mmm (123)
Magnetization = 0.000 μB/atom
Density = 3.90 Mg/m³


Name the most stable of them. run i.